Here is crystalline FeP2Pb2O10 at its relaxed geometry from the Alexandria database. Energies are from GGA+U.

## Properties
Symmetry   P2_1/c (14)
Magnetization   3.47 μB per formula unit
Raw total energy   -192.07 eV/cell

Cell: 4.653 7.842 10.373 Å, 90.00 93.17 90.00°
Element x y z (fractional)
Fe 0.000 0.000 0.000
Fe 0.000 0.500 0.500
P 0.472 0.229 0.579
P 0.472 0.271 0.079
P 0.528 0.729 0.921
P 0.528 0.771 0.421
Pb 0.042 0.628 0.179
Pb 0.042 0.872 0.679
Pb 0.958 0.128 0.321
Pb 0.958 0.372 0.821
O 0.147 0.087 0.853
O 0.147 0.413 0.353
O 0.265 0.086 0.525
O 0.265 0.414 0.025
O 0.268 0.123 0.119
O 0.268 0.377 0.619
O 0.315 0.707 0.520
O 0.315 0.793 0.020
O 0.357 0.671 0.798
O 0.357 0.829 0.298
O 0.643 0.171 0.702
O 0.643 0.329 0.202
O 0.685 0.207 0.980
O 0.685 0.293 0.480
O 0.732 0.623 0.381
O 0.732 0.877 0.881
O 0.735 0.586 0.975
O 0.735 0.914 0.475
O 0.853 0.587 0.647
O 0.853 0.913 0.147